Record 1
Entry from the Alexandria database: a relaxed structure of Sr2AlCo (PBE-GGA).

Symmetry: I-42d (122)
Final energy in eV/atom: -3.407
ΔH_f (0 K) in kcal/mol of atoms: 3.38

POSCAR file:
```
Sr2AlCo
1.0
-5.4922 5.4922 2.3054
5.4922 -5.4922 2.3054
5.4922 5.4922 -2.3054
Sr Al Co
4 2 2
Cartesian
0.7649 2.7461 0.5763
-2.7461 4.7273 1.7290
-0.7649 8.2383 0.5763
2.7461 6.2571 1.7290
5.4922 0.0000 1.1527
0.0000 0.0000 2.3054
0.0000 0.0000 0.0000
0.0000 5.4922 1.1527
```

***

Record 2
Entry from the Alexandria database: a relaxed structure of CsYPb2 (PBE-GGA).

Symmetry: Fm-3m (225)
Final energy in eV/atom: -3.620
ΔE to the lowest computed polymorph in eV per atom: 0.393
ΔH_f (0 K) in kcal/mol of atoms: 1.46

POSCAR file:
```
CsYPb2
1.0
0.0000 4.1478 4.1478
4.1478 0.0000 4.1478
4.1478 4.1478 0.0000
Cs Y Pb
1 1 2
Cartesian
0.0000 0.0000 0.0000
4.1478 4.1478 4.1478
2.0739 2.0739 2.0739
6.2217 6.2217 6.2217
```